Density functional theory data (PBE) for crystalline YSiO at its relaxed geometry.

The space group is P4/nmm (No. 129, origin choice 2) and the conventional cell measures 3.324, 3.324 and 8.370 Å, with angles of 90.00, 90.00 and 90.00 degrees. The distinct sites, in fractional coordinates, are Y at (0.250, 0.250, 0.172), Si at (0.250, 0.250, 0.542) and O at (0.250, 0.250, 0.894).

The total magnetization comes out at 0.00 μB/f.u. The value obtained for the raw formation energy is -1.8547 eV/atom. Its crystal system is tetragonal.